Record 1
This record from Alexandria via LeMat-Bulk describes an optimized crystal structure of HfH2PtN. The functional is PBEsol.

Summary:
* SG: P4/mmm (123)
* offset from the most stable computed form: 1210.6 meV per atom
* crystal system: tetragonal

Lattice parameters (Å, degrees): 3.894 3.894 3.729 90.00 90.00 90.00
Sites, in units of the cell vectors:
Hf: 0.000 0.000 0.000
H: 0.000 0.500 0.500
H: 0.500 0.000 0.500
Pt: 0.500 0.500 0.000
N: 0.500 0.500 0.500

---

Record 2
This record from Alexandria via LeMat-Bulk describes an optimized crystal structure of YMgSc2N. The functional is PBEsol.

Summary:
* formation energy without anion corrections: 10.57 eV/f.u.
* SG: P4/mmm (123)
* crystal system: tetragonal

Lattice parameters (Å, degrees): 5.164 5.164 5.426 90.00 90.00 90.00
Sites, in units of the cell vectors:
Y: 0.000 0.000 0.000
Mg: 0.000 0.000 0.500
Sc: 0.000 0.500 0.000
Sc: 0.500 0.000 0.000
N: 0.500 0.500 0.500

---

Record 3
This record from Alexandria via LeMat-Bulk describes an optimized crystal structure of TlMoP3. The functional is PBEsol.

Summary:
* energy of formation from the pure elements: 10.11 eV per formula unit
* SG: Pm-3m (221)
* offset from the most stable computed form: 1699.5 meV per atom
* crystal system: cubic

Lattice parameters (Å, degrees): 4.915 4.915 4.915 90.00 90.00 90.00
Sites, in units of the cell vectors:
Tl: 0.000 0.000 0.000
Mo: 0.500 0.500 0.500
P: 0.000 0.000 0.500
P: 0.000 0.500 0.000
P: 0.500 0.000 0.000

---

Record 4
This record from Alexandria via LeMat-Bulk describes an optimized crystal structure of LiYCl2. The functional is PBEsol.

Summary:
* formation energy without anion corrections: -5.91 eV/f.u.
* SG: Pm (6)
* offset from the most stable computed form: 85.1 meV per atom
* crystal system: monoclinic

Lattice parameters (Å, degrees): 3.566 3.495 7.483 90.00 103.73 90.00
Sites, in units of the cell vectors:
Li: 0.000 0.000 0.000
Y: 0.688 0.500 0.379
Cl: 0.508 0.500 0.017
Cl: 0.825 0.000 0.656

---

Record 5
This record from Alexandria via LeMat-Bulk describes an optimized crystal structure of MgSi2Cl. The functional is PBEsol.

Summary:
* formation energy without anion corrections: 1.12 eV/f.u.
* SG: Cmmm (65)
* offset from the most stable computed form: 752.0 meV per atom
* crystal system: orthorhombic

Lattice parameters (Å, degrees): 3.061 5.202 8.932 90.00 90.00 90.00
Sites, in units of the cell vectors:
Mg: 0.000 0.000 0.000
Mg: 0.500 0.500 0.000
Si: 0.000 0.500 0.261
Si: 0.000 0.500 0.739
Si: 0.500 0.000 0.261
Si: 0.500 0.000 0.739
Cl: 0.000 0.000 0.500
Cl: 0.500 0.500 0.500

---

Record 6
This record from Alexandria via LeMat-Bulk describes an optimized crystal structure of BaSe3N. The functional is PBEsol.

Summary:
* formation energy without anion corrections: 6.74 eV/f.u.
* SG: Pm-3m (221)
* crystal system: cubic

Lattice parameters (Å, degrees): 6.331 6.331 6.331 90.00 90.00 90.00
Sites, in units of the cell vectors:
Ba: 0.000 0.000 0.000
Se: 0.000 0.000 0.500
Se: 0.000 0.500 0.000
Se: 0.500 0.000 0.000
N: 0.500 0.500 0.500

---

Record 7
This record from Alexandria via LeMat-Bulk describes an optimized crystal structure of BeCS2Cl. The functional is PBEsol.

Summary:
* formation energy without anion corrections: 5.96 eV/f.u.
* SG: P4/mmm (123)
* crystal system: tetragonal

Lattice parameters (Å, degrees): 4.001 4.001 4.331 90.00 90.00 90.00
Sites, in units of the cell vectors:
Be: 0.000 0.000 0.000
C: 0.500 0.500 0.500
S: 0.000 0.500 0.500
S: 0.500 0.000 0.500
Cl: 0.500 0.500 0.000

---

Record 8
This record from Alexandria via LeMat-Bulk describes an optimized crystal structure of MgAsBr. The functional is PBEsol.

Summary:
* formation energy without anion corrections: -1.12 eV/f.u.
* SG: Fmm2 (42)
* crystal system: orthorhombic

Lattice parameters (Å, degrees): 4.493 4.514 13.924 90.00 90.00 90.00
Sites, in units of the cell vectors:
Mg: 0.000 0.000 0.000
Mg: 0.000 0.500 0.500
Mg: 0.500 0.000 0.500
Mg: 0.500 0.500 0.000
As: 0.000 0.000 0.640
As: 0.000 0.500 0.140
As: 0.500 0.000 0.140
As: 0.500 0.500 0.640
Br: 0.000 0.000 0.386
Br: 0.000 0.500 0.886
Br: 0.500 0.000 0.886
Br: 0.500 0.500 0.386

---

Record 9
This record from Alexandria via LeMat-Bulk describes an optimized crystal structure of TlTe2IBr. The functional is PBEsol.

Summary:
* formation energy without anion corrections: 1.88 eV/f.u.
* SG: P4/mmm (123)
* crystal system: tetragonal

Lattice parameters (Å, degrees): 5.396 5.396 6.514 90.00 90.00 90.00
Sites, in units of the cell vectors:
Tl: 0.000 0.000 0.000
Te: 0.000 0.500 0.500
Te: 0.500 0.000 0.500
I: 0.500 0.500 0.000
Br: 0.500 0.500 0.500

---

Record 10
This record from Alexandria via LeMat-Bulk describes an optimized crystal structure of AlZn. The functional is PBEsol.

Summary:
* energy of formation from the pure elements: 0.17 eV per formula unit
* SG: Imma (74)
* crystal system: orthorhombic

Lattice parameters (Å, degrees): 2.740 4.760 9.584 90.00 90.00 90.00
Sites, in units of the cell vectors:
Al: 0.000 0.250 0.119
Al: 0.000 0.750 0.881
Al: 0.500 0.250 0.381
Al: 0.500 0.750 0.619
Zn: 0.000 0.250 0.630
Zn: 0.000 0.750 0.370
Zn: 0.500 0.250 0.870
Zn: 0.500 0.750 0.130

---

Record 11
This record from Alexandria via LeMat-Bulk describes an optimized crystal structure of K3Ag. The functional is PBEsol.

Summary:
* energy of formation from the pure elements: 0.40 eV per formula unit
* SG: Pnma (62)
* offset from the most stable computed form: 0.0 meV per atom
* crystal system: orthorhombic

Lattice parameters (Å, degrees): 9.303 10.864 7.380 90.00 90.00 90.00
Sites, in units of the cell vectors:
K: 0.032 0.250 0.120
K: 0.169 0.062 0.650
K: 0.169 0.438 0.650
K: 0.331 0.562 0.150
K: 0.331 0.938 0.150
K: 0.468 0.750 0.620
K: 0.532 0.250 0.380
K: 0.669 0.062 0.850
K: 0.669 0.438 0.850
K: 0.831 0.562 0.350
K: 0.831 0.938 0.350
K: 0.968 0.750 0.880
Ag: 0.124 0.750 0.444
Ag: 0.376 0.250 0.944
Ag: 0.624 0.750 0.056
Ag: 0.876 0.250 0.556

---

Record 12
This record from Alexandria via LeMat-Bulk describes an optimized crystal structure of InFeB3. The functional is PBEsol.

Summary:
* energy of formation from the pure elements: 13.40 eV per formula unit
* SG: Pm-3m (221)
* crystal system: cubic

Lattice parameters (Å, degrees): 4.341 4.341 4.341 90.00 90.00 90.00
Sites, in units of the cell vectors:
In: 0.000 0.000 0.000
Fe: 0.500 0.500 0.500
B: 0.000 0.000 0.500
B: 0.000 0.500 0.000
B: 0.500 0.000 0.000

---

Record 13
This record from Alexandria via LeMat-Bulk describes an optimized crystal structure of K2Tl. The functional is PBEsol.

Summary:
* energy of formation from the pure elements: -0.12 eV per formula unit
* SG: Cmcm (63)
* offset from the most stable computed form: 4.7 meV per atom
* crystal system: orthorhombic

Lattice parameters (Å, degrees): 6.148 21.514 4.154 90.00 90.00 90.00
Sites, in units of the cell vectors:
K: 0.000 0.079 0.250
K: 0.000 0.307 0.750
K: 0.000 0.693 0.250
K: 0.000 0.921 0.750
K: 0.500 0.193 0.250
K: 0.500 0.421 0.750
K: 0.500 0.579 0.250
K: 0.500 0.807 0.750
Tl: 0.000 0.448 0.250
Tl: 0.000 0.552 0.750
Tl: 0.500 0.052 0.750
Tl: 0.500 0.948 0.250

---

Record 14
This record from Alexandria via LeMat-Bulk describes an optimized crystal structure of BaSi2Cl. The functional is PBEsol.

Summary:
* formation energy without anion corrections: -1.37 eV/f.u.
* SG: Fmmm (69)
* crystal system: orthorhombic

Lattice parameters (Å, degrees): 5.609 5.806 13.096 90.00 90.00 90.00
Sites, in units of the cell vectors:
Ba: 0.000 0.000 0.000
Ba: 0.000 0.500 0.500
Ba: 0.500 0.000 0.500
Ba: 0.500 0.500 0.000
Si: 0.000 0.250 0.250
Si: 0.000 0.250 0.750
Si: 0.000 0.750 0.250
Si: 0.000 0.750 0.750
Si: 0.500 0.250 0.250
Si: 0.500 0.250 0.750
Si: 0.500 0.750 0.250
Si: 0.500 0.750 0.750
Cl: 0.000 0.000 0.500
Cl: 0.000 0.500 0.000
Cl: 0.500 0.000 0.000
Cl: 0.500 0.500 0.500

---

Record 15
This record from Alexandria via LeMat-Bulk describes an optimized crystal structure of Ba2Li2Hg. The functional is PBEsol.

Summary:
* energy of formation from the pure elements: -0.89 eV per formula unit
* SG: I4/mmm (139)
* crystal system: tetragonal

Lattice parameters (Å, degrees): 4.105 4.105 20.616 90.00 90.00 90.00
Sites, in units of the cell vectors:
Ba: 0.000 0.000 0.095
Ba: 0.000 0.000 0.905
Ba: 0.500 0.500 0.405
Ba: 0.500 0.500 0.595
Li: 0.000 0.500 0.250
Li: 0.000 0.500 0.750
Li: 0.500 0.000 0.250
Li: 0.500 0.000 0.750
Hg: 0.000 0.000 0.500
Hg: 0.500 0.500 0.000

---

Record 16
This record from Alexandria via LeMat-Bulk describes an optimized crystal structure of LiCaIn2. The functional is PBEsol.

Summary:
* energy of formation from the pure elements: -1.38 eV per formula unit
* SG: P4/mmm (123)
* crystal system: tetragonal

Lattice parameters (Å, degrees): 5.141 5.141 3.658 90.00 90.00 90.00
Sites, in units of the cell vectors:
Li: 0.000 0.000 0.000
Ca: 0.500 0.500 0.000
In: 0.000 0.500 0.500
In: 0.500 0.000 0.500

---

Record 17
This record from Alexandria via LeMat-Bulk describes an optimized crystal structure of CaCd2Mo. The functional is PBEsol.

Summary:
* energy of formation from the pure elements: 1.62 eV per formula unit
* SG: Cm (8)
* crystal system: monoclinic

Lattice parameters (Å, degrees): 10.477 3.007 5.280 90.00 103.89 90.00
Sites, in units of the cell vectors:
Ca: 0.000 0.000 0.000
Ca: 0.500 0.500 0.000
Cd: 0.000 0.500 0.481
Cd: 0.240 0.000 0.766
Cd: 0.500 0.000 0.481
Cd: 0.740 0.500 0.766
Mo: 0.259 0.500 0.285
Mo: 0.759 0.000 0.285

---

Record 18
This record from Alexandria via LeMat-Bulk describes an optimized crystal structure of BaTi6O12. The functional is PBEsol.

Summary:
* formation energy without anion corrections: -58.37 eV/f.u.
* SG: I4/m (87)
* crystal system: tetragonal

Lattice parameters (Å, degrees): 8.402 8.402 8.402 106.12 106.12 116.41
Sites, in units of the cell vectors:
Ba: 0.217 0.217 0.000
Ba: 0.783 0.783 0.000
Ti: 0.016 0.833 0.518
Ti: 0.167 0.685 0.183
Ti: 0.169 0.651 0.819
Ti: 0.315 0.498 0.482
Ti: 0.349 0.169 0.518
Ti: 0.498 0.016 0.183
Ti: 0.502 0.984 0.817
Ti: 0.651 0.831 0.482
Ti: 0.685 0.502 0.518
Ti: 0.831 0.349 0.181
Ti: 0.833 0.315 0.817
Ti: 0.984 0.167 0.482
O: 0.128 0.498 0.288
O: 0.136 0.489 0.956
O: 0.150 0.195 0.345
O: 0.160 0.460 0.620
O: 0.161 0.872 0.371
O: 0.180 0.136 0.647
O: 0.195 0.850 0.045
O: 0.210 0.839 0.712
O: 0.460 0.840 0.301
O: 0.467 0.820 0.956
O: 0.489 0.533 0.353
O: 0.498 0.210 0.371
O: 0.502 0.790 0.629
O: 0.511 0.467 0.647
O: 0.533 0.180 0.044
O: 0.540 0.160 0.699
O: 0.790 0.161 0.288
O: 0.805 0.150 0.955
O: 0.820 0.864 0.353
O: 0.839 0.128 0.629
O: 0.840 0.540 0.380
O: 0.850 0.805 0.655
O: 0.864 0.511 0.044
O: 0.872 0.502 0.712

---

Record 19
This record from Alexandria via LeMat-Bulk describes an optimized crystal structure of ZnCoAs2. The functional is PBEsol.

Summary:
* energy of formation from the pure elements: 0.90 eV per formula unit
* SG: Cmmm (65)
* crystal system: orthorhombic

Lattice parameters (Å, degrees): 5.293 6.914 3.187 90.00 90.00 90.00
Sites, in units of the cell vectors:
Zn: 0.000 0.000 0.000
Zn: 0.500 0.500 0.000
Co: 0.000 0.500 0.000
Co: 0.500 0.000 0.000
As: 0.250 0.250 0.500
As: 0.250 0.750 0.500
As: 0.750 0.250 0.500
As: 0.750 0.750 0.500

---

Record 20
This record from Alexandria via LeMat-Bulk describes an optimized crystal structure of Si2WSe. The functional is PBEsol.

Summary:
* formation energy without anion corrections: 1.32 eV/f.u.
* SG: Cmmm (65)
* crystal system: orthorhombic

Lattice parameters (Å, degrees): 3.431 4.177 9.314 90.00 90.00 90.00
Sites, in units of the cell vectors:
Si: 0.000 0.000 0.211
Si: 0.000 0.000 0.789
Si: 0.500 0.500 0.211
Si: 0.500 0.500 0.789
W: 0.000 0.500 0.000
W: 0.500 0.000 0.000
Se: 0.000 0.500 0.500
Se: 0.500 0.000 0.500

---

Record 21
This record from Alexandria via LeMat-Bulk describes an optimized crystal structure of TiMnSi4. The functional is PBEsol.

Summary:
* formation energy without anion corrections: -3.03 eV/f.u.
* SG: P2 (3)
* crystal system: monoclinic

Lattice parameters (Å, degrees): 4.496 12.706 4.523 90.00 119.51 90.00
Sites, in units of the cell vectors:
Ti: 0.000 0.000 0.000
Ti: 0.000 0.495 0.000
Ti: 0.500 0.662 0.000
Mn: 0.000 0.325 0.500
Mn: 0.000 0.831 0.500
Mn: 0.500 0.169 0.000
Si: 0.169 0.166 0.339
Si: 0.176 0.666 0.341
Si: 0.332 0.831 0.171
Si: 0.333 0.493 0.657
Si: 0.335 0.998 0.668
Si: 0.340 0.328 0.166
Si: 0.660 0.328 0.834
Si: 0.665 0.998 0.332
Si: 0.667 0.493 0.343
Si: 0.668 0.831 0.829
Si: 0.824 0.666 0.659
Si: 0.831 0.166 0.661

---

Record 22
This record from Alexandria via LeMat-Bulk describes an optimized crystal structure of Cu2Se. The functional is PBEsol.

Summary:
* formation energy without anion corrections: 0.09 eV/f.u.
* SG: Fm-3m (225)
* crystal system: cubic

Lattice parameters (Å, degrees): 5.711 5.711 5.711 90.00 90.00 90.00
Sites, in units of the cell vectors:
Cu: 0.250 0.250 0.250
Cu: 0.250 0.250 0.750
Cu: 0.250 0.750 0.250
Cu: 0.250 0.750 0.750
Cu: 0.750 0.250 0.250
Cu: 0.750 0.250 0.750
Cu: 0.750 0.750 0.250
Cu: 0.750 0.750 0.750
Se: 0.000 0.000 0.000
Se: 0.000 0.500 0.500
Se: 0.500 0.000 0.500
Se: 0.500 0.500 0.000

---

Record 23
This record from Alexandria via LeMat-Bulk describes an optimized crystal structure of K2NdI5. The functional is PBEsol.

Summary:
* formation energy without anion corrections: -11.65 eV/f.u.
* SG: Pnma (62)
* crystal system: orthorhombic

Lattice parameters (Å, degrees): 14.119 9.702 9.014 90.00 90.00 90.00
Sites, in units of the cell vectors:
K: 0.173 0.005 0.067
K: 0.173 0.495 0.067
K: 0.327 0.505 0.567
K: 0.327 0.995 0.567
K: 0.673 0.005 0.433
K: 0.673 0.495 0.433
K: 0.827 0.505 0.933
K: 0.827 0.995 0.933
Nd: 0.007 0.250 0.583
Nd: 0.493 0.750 0.083
Nd: 0.507 0.250 0.917
Nd: 0.993 0.750 0.417
I: 0.006 0.250 0.936
I: 0.074 0.548 0.673
I: 0.074 0.952 0.673
I: 0.187 0.250 0.377
I: 0.210 0.750 0.343
I: 0.290 0.250 0.843
I: 0.313 0.750 0.877
I: 0.426 0.048 0.173
I: 0.426 0.452 0.173
I: 0.494 0.750 0.436
I: 0.506 0.250 0.564
I: 0.574 0.548 0.827
I: 0.574 0.952 0.827
I: 0.687 0.250 0.123
I: 0.710 0.750 0.157
I: 0.790 0.250 0.657
I: 0.813 0.750 0.623
I: 0.926 0.048 0.327
I: 0.926 0.452 0.327
I: 0.994 0.750 0.064

---

Record 24
This record from Alexandria via LeMat-Bulk describes an optimized crystal structure of ReNiF2. The functional is PBEsol.

Summary:
* formation energy without anion corrections: -1.25 eV/f.u.
* SG: R-3m (166)
* crystal system: trigonal

Lattice parameters (Å, degrees): 2.607 2.607 22.968 90.00 90.00 120.00
Sites, in units of the cell vectors:
Re: 0.000 0.000 0.000
Re: 0.333 0.667 0.667
Re: 0.667 0.333 0.333
Ni: 0.000 0.000 0.500
Ni: 0.333 0.667 0.167
Ni: 0.667 0.333 0.833
F: 0.000 0.000 0.420
F: 0.000 0.000 0.580
F: 0.333 0.667 0.087
F: 0.333 0.667 0.246
F: 0.667 0.333 0.754
F: 0.667 0.333 0.913

---

Record 25
This record from Alexandria via LeMat-Bulk describes an optimized crystal structure of AlZnPb2. The functional is PBEsol.

Summary:
* energy of formation from the pure elements: 0.94 eV per formula unit
* SG: Cmmm (65)
* crystal system: orthorhombic

Lattice parameters (Å, degrees): 4.472 5.050 8.289 90.00 90.00 90.00
Sites, in units of the cell vectors:
Al: 0.000 0.000 0.000
Al: 0.500 0.500 0.000
Zn: 0.000 0.000 0.500
Zn: 0.500 0.500 0.500
Pb: 0.000 0.500 0.257
Pb: 0.000 0.500 0.743
Pb: 0.500 0.000 0.257
Pb: 0.500 0.000 0.743